<A>
An optimized crystal structure of Ta2ZnSb. Source: Alexandria, functional PBE.

The density of states at the Fermi level is 4.80 states/eV/cell. The volume is 18.46 A^3/atom.

Lattice parameters (Å, degrees): 9.9816 2.9946 5.0130 90.00 99.80 90.00
Closest atoms and distances in Å follow each position.
Space group Cm (No. 8)
Symmetry-distinct sites (fractional):
Ta  0.0000  0.0000  0.0000 x2  4 Zn 2.85-2.99, 3 Sb 2.91-2.94, 5 Ta 2.99-3.12
Ta  0.2416  0.0000  0.7099 x2  3 Zn 2.86-2.91, 4 Sb 2.89-2.95, 5 Ta 2.99-3.12
Zn  0.0002  0.5000  0.5170 x2  7 Ta 2.85-2.99, 2 Zn 2.99, 3 Sb 3.09-3.10
Sb  0.2478  0.5000  0.2181 x2  7 Ta 2.89-2.95, 2 Sb 2.99, 3 Zn 3.09-3.10

---

<B>
An optimized crystal structure of Ta2ZnSb. Source: Alexandria, functional PBE.

The density of states at the Fermi level is 2.15 states/eV/cell. The volume is 18.44 A^3/atom.

Lattice parameters (Å, degrees): 2.9592 4.6720 5.4333 90.00 100.92 90.00
Closest atoms and distances in Å follow each position.
Space group Pm (No. 6)
Symmetry-distinct sites (fractional):
Ta  0.0000  0.0000  0.0000 x1  4 Zn 2.81-3.09, 3 Sb 2.83-3.07, 4 Ta 2.90-2.96
Ta  0.1810  0.5000  0.7187 x1  1 Zn 2.67, 4 Ta 2.90-2.96
Zn  0.6597  0.5000  0.1874 x1  3 Ta 2.67-2.81, 2 Sb 2.86, 2 Zn 2.96
Sb  0.6065  0.0000  0.4836 x1  7 Ta 2.83-3.07, 2 Zn 2.86, 2 Sb 2.96

---

Which of them is the most stable, and which is the least stable? <B> and <A>, in that order.

---

<A>
An optimized crystal structure of Ta2ZnSb. Source: Alexandria, functional PBE.

The density of states at the Fermi level is 32.28 states/eV/cell. The volume is 18.17 A^3/atom.

Lattice parameters (Å, degrees): 6.6246 6.6246 6.6246 90.00 90.00 90.00
Closest atoms and distances in Å follow each position.
Space group Fm-3m (No. 225)
Symmetry-distinct sites (fractional):
Ta  0.2500  0.2500  0.2500 x8  4 Sb 2.87, 4 Zn 2.87
Zn  0.0000  0.0000  0.0000 x4  8 Ta 2.87
Sb  0.0000  0.0000  0.5000 x4  8 Ta 2.87

---

<B>
An optimized crystal structure of Ta2ZnSb. Source: Alexandria, functional PBE.

The density of states at the Fermi level is 6.79 states/eV/cell. The volume is 18.24 A^3/atom.

Lattice parameters (Å, degrees): 4.0681 4.0681 8.8179 90.00 90.00 90.00
Closest atoms and distances in Å follow each position.
Space group I-4m2 (No. 119)
Symmetry-distinct sites (fractional):
Ta  0.0000  0.0000  0.0000 x2  4 Sb 2.88, 4 Ta 3.00, 4 Zn 3.00
Ta  0.0000  0.5000  0.2500 x2  4 Zn 2.88, 4 Ta 3.00, 4 Sb 3.00
Zn  0.0000  0.5000  0.7500 x2  8 Ta 2.88-3.00, 4 Sb 3.00
Sb  0.0000  0.0000  0.5000 x2  8 Ta 2.88-3.00, 4 Zn 3.00

---

Which of them is the most stable, and which is the least stable? <B> and <A>, in that order.